Record 1
First-principles (PBE) data for an optimized crystal structure of Er3Sc4Ge4, as listed in Alexandria via LeMat-Bulk.

abc: 3.9286 8.4236 8.8706
angles: 118.35 102.79 90.00
Each line ends with the local moment (μB).
Positions (direct):
Ge: 0.7568 0.2568 0.5135  -0.01
Ge: 0.2432 0.7432 0.4865  -0.01
Ge: 0.5000 0.7830 0.0000  -0.01
Ge: 0.5000 0.2170 0.0000  -0.01
Sc: 0.6730 0.8664 0.3459  0.30
Sc: 0.3270 0.1336 0.6541  0.30
Sc: 0.3270 0.5204 0.6541  0.30
Sc: 0.6730 0.4796 0.3459  0.30
Er: 0.1096 0.1096 0.2191  0.16
Er: 0.0000 0.5000 0.0000  0.09
Er: 0.8904 0.8904 0.7809  0.16

## Properties
The magnetization is 2.555 μB/cell. The value obtained for the energy of formation is -0.678 eV per atom. For the final energy, the calculation gives -5.90 eV/atom.

***

Record 2
First-principles (PBE) data for an optimized crystal structure of K2SbPt, as listed in Alexandria via LeMat-Bulk.

abc: 5.2865 5.2865 5.2865
angles: 119.92 119.92 90.14
Positions (direct):
K: 0.0000 0.0000 0.0000
K: 0.2500 0.7500 0.5000
Sb: 0.7500 0.2500 0.5000
Pt: 0.5000 0.5000 0.0000

## Properties
The magnetization is 0.000 μB/cell. Its energy relative to the elements, uncorrected is -20 meV/atom. For the final energy, the calculation gives -3.11 eV/atom.

***

Record 3
First-principles (PBE) data for an optimized crystal structure of La6CePr2Sm, as listed in Alexandria via LeMat-Bulk.

abc: 9.2009 7.0677 6.8119
angles: 121.25 104.51 90.00
Each line ends with the local moment (μB).
Positions (direct):
Pr: 0.8299 0.9176 0.8352  0.00
Pr: 0.1701 0.0824 0.1648  0.00
Ce: 0.0000 0.5000 0.0000  0.79
La: 0.8010 0.9538 0.3781  0.00
La: 0.5872 0.3766 0.7532  0.00
La: 0.4128 0.6234 0.2468  0.00
La: 0.1990 0.0462 0.6219  0.00
La: 0.1990 0.5757 0.6219  0.00
La: 0.8010 0.4243 0.3781  0.00
Sm: 0.5000 0.0000 0.0000  -0.02

## Properties
The magnetization is 0.979 μB/cell. The value obtained for the energy of formation is 0.198 eV per atom. For the final energy, the calculation gives -4.78 eV/atom.